Record 1
# La8Ge3IrCl4 (PBE, optimized geometry)
data_La8Ge3IrCl4
_chemical_formula_sum 'La16 Ge6 Ir2 Cl8'
_cell_length_a 14.793
_cell_length_b 8.734
_cell_length_c 8.588
_cell_angle_alpha 90.00
_cell_angle_beta 124.04
_cell_angle_gamma 90.00
_space_group_name_H-M_alt 'C 1 2/m 1'
_space_group_IT_number 12
_space_group_name_Hall '-C 2y'
loop_
_atom_site_label
_atom_site_fract_x
_atom_site_fract_y
_atom_site_fract_z
_atom_site_occupancy
La1 0.005 0.241 0.236 1
La2 0.239 0.000 0.248 1
La3 0.246 0.500 0.253 1
Ge1 0.000 0.500 0.000 1
Ge2 0.250 0.250 0.500 1
Ir1 0.000 0.000 0.000 1
Cl1 0.000 0.000 0.500 1
Cl2 0.000 0.500 0.500 1
Cl3 0.250 0.250 0.000 1
# DOS(E_F) = 0.769 states/eV/atom
# Magnetic moment = 0.000 μB/cell
# Formation energy (no corrections) = -126 kJ/mol of atoms



Record 2
# Li2GeIrCl (PBE, optimized geometry)
data_Li2GeIrCl
_chemical_formula_sum 'Li2 Ge1 Ir1 Cl1'
_cell_length_a 4.918
_cell_length_b 4.918
_cell_length_c 4.647
_cell_angle_alpha 90.00
_cell_angle_beta 90.00
_cell_angle_gamma 90.00
_space_group_name_H-M_alt 'P 4/m m m'
_space_group_IT_number 123
_space_group_name_Hall '-P 4 2'
loop_
_atom_site_label
_atom_site_fract_x
_atom_site_fract_y
_atom_site_fract_z
_atom_site_occupancy
Li1 0.000 0.500 0.000 1
Ge1 0.000 0.000 0.500 1
Ir1 0.000 0.000 0.000 1
Cl1 0.500 0.500 0.500 1
# DOS(E_F) = 0.187 states/eV/atom
# Magnetic moment = 0.000 μB/cell
# Formation energy (no corrections) = -19 kJ/mol of atoms



Record 3
# Nd6Ge2IrCl3 (PBE, optimized geometry)
data_Nd6Ge2IrCl3
_chemical_formula_sum 'Nd12 Ge4 Ir2 Cl6'
_cell_length_a 18.549
_cell_length_b 4.203
_cell_length_c 8.687
_cell_angle_alpha 90.00
_cell_angle_beta 102.55
_cell_angle_gamma 90.00
_space_group_name_H-M_alt 'C 1 2/m 1'
_space_group_IT_number 12
_space_group_name_Hall '-C 2y'
loop_
_atom_site_label
_atom_site_fract_x
_atom_site_fract_y
_atom_site_fract_z
_atom_site_occupancy
Nd1 0.003 0.000 0.225 1
Nd2 0.155 0.500 0.097 1
Nd3 0.172 0.500 0.575 1
Ge1 0.165 0.000 0.340 1
Ir1 0.000 0.500 0.000 1
Cl1 0.000 0.500 0.500 1
Cl2 0.175 0.000 0.839 1
# DOS(E_F) = 0.672 states/eV/atom
# Magnetic moment = 0.000 μB/cell
# Formation energy (no corrections) = -116 kJ/mol of atoms



| no. | VASP energy (eV for the cell shown) |
| --- | --- |
| 1 | -180.97 |
| 2 | -20.14 |
| 3 | -133.34 |